Record 1
AsH2Pt2, optimized geometry, DFT PBE; uncorrected energy = -4.5910 eV per atom; space-group type = P4/mbm
1.0
6.699 0.000 0.000
0.000 6.699 0.000
0.000 0.000 2.868
As H Pt
2 4 4
Direct
0.000 0.000 0.000 As
0.500 0.500 0.000 As
0.242 0.258 0.500 H
0.258 0.758 0.500 H
0.742 0.242 0.500 H
0.758 0.742 0.500 H
0.144 0.356 0.000 Pt
0.356 0.856 0.000 Pt
0.644 0.144 0.000 Pt
0.856 0.644 0.000 Pt


Record 2
Ba2CaCd4In3, optimized geometry, DFT PBE; uncorrected energy = -2.0983 eV per atom; calculated formation energy = -3.26 eV/f.u.; space-group type = P-4m2
1.0
4.923 0.000 0.000
0.000 4.923 0.000
0.000 0.000 12.925
Ba Ca Cd In
2 1 4 3
Direct
0.000 0.500 0.228 Ba
0.500 0.000 0.772 Ba
0.000 0.000 0.500 Ca
0.000 0.000 0.000 Cd
0.000 0.500 0.650 Cd
0.500 0.000 0.350 Cd
0.500 0.500 0.000 Cd
0.000 0.500 0.873 In
0.500 0.000 0.127 In
0.500 0.500 0.500 In